Record 1
First-principles (GGA-PBE) data for a relaxed structure of Ce3SiHg, as listed in the Alexandria database.

The crystal system is triclinic. For the uncorrected formation energy, the calculation gives -0.3308 eV/atom.

The space group is P-1 (No. 2) and the conventional cell measures 5.671, 5.759 and 8.534 Å, with angles of 82.24, 72.52 and 67.83 degrees. The distinct sites, in fractional coordinates, are Ce at (0.124, 0.173, 0.299), Ce at (0.211, 0.095, 0.622), Ce at (0.244, 0.685, 0.996), Si at (0.349, 0.160, 0.925) and Hg at (0.395, 0.552, 0.359).


Record 2
First-principles (GGA-PBE) data for a relaxed structure of TbCeSiHg, as listed in the Alexandria database.

The crystal system is cubic. For the uncorrected formation energy, the calculation gives -0.4078 eV/atom.

The space group is F-43m (No. 216) and the conventional cell measures 7.339, 7.339 and 7.339 Å, with angles of 90.00, 90.00 and 90.00 degrees. The distinct sites, in fractional coordinates, are Tb at (0.000, 0.000, 0.000), Ce at (0.000, 0.000, 0.500), Si at (0.250, 0.250, 0.250) and Hg at (0.250, 0.250, 0.750).


Record 3
First-principles (GGA-PBE) data for a relaxed structure of CeTmSiHg, as listed in the Alexandria database.

The crystal system is cubic. For the uncorrected formation energy, the calculation gives -0.3970 eV/atom.

The space group is F-43m (No. 216) and the conventional cell measures 7.279, 7.279 and 7.279 Å, with angles of 90.00, 90.00 and 90.00 degrees. The distinct sites, in fractional coordinates, are Ce at (0.000, 0.000, 0.000), Tm at (0.000, 0.000, 0.500), Si at (0.250, 0.250, 0.750) and Hg at (0.250, 0.250, 0.250).


Record 4
First-principles (GGA-PBE) data for a relaxed structure of CeYSiHg, as listed in the Alexandria database.

The crystal system is cubic. For the uncorrected formation energy, the calculation gives -0.4188 eV/atom.

The space group is F-43m (No. 216) and the conventional cell measures 7.334, 7.334 and 7.334 Å, with angles of 90.00, 90.00 and 90.00 degrees. The distinct sites, in fractional coordinates, are Ce at (0.000, 0.000, 0.000), Y at (0.000, 0.000, 0.500), Si at (0.250, 0.250, 0.750) and Hg at (0.250, 0.250, 0.250).


Record 5
First-principles (GGA-PBE) data for a relaxed structure of Ce3Sm2Hg4, as listed in the Alexandria database.

The calculation puts the formation energy at -0.300 eV per atom. The crystal system is monoclinic.

The space group is C2/m (No. 12) and the conventional cell measures 9.381, 5.267 and 10.106 Å, with angles of 90.00, 93.25 and 90.00 degrees. The distinct sites, in fractional coordinates, are Ce at (0.000, 0.000, 0.000), Ce at (0.135, 0.500, 0.563), Sm at (0.176, 0.500, 0.217), Hg at (0.026, 0.000, 0.341) and Hg at (0.162, 0.500, 0.891).


Record 6
First-principles (GGA-PBE) data for a relaxed structure of CeSmHg4, as listed in the Alexandria database.

Its offset from the most stable computed form is 3.5 kJ/mol of atoms. The calculation puts the formation energy at -0.354 eV per atom. The crystal system is orthorhombic.

The space group is Amm2 (No. 38) and the conventional cell measures 5.304, 4.009 and 14.957 Å, with angles of 90.00, 90.00 and 90.00 degrees. The distinct sites, in fractional coordinates, are Ce at (0.000, 0.000, 0.000), Sm at (0.500, 0.000, 0.790), Hg at (0.000, 0.000, 0.329), Hg at (0.000, 0.000, 0.667), Hg at (0.500, 0.000, 0.124) and Hg at (0.500, 0.000, 0.457).


no.,total magnetization (μB per formula unit)
1,1.35
2,0.95
3,0.90
4,0.95
5,3.51
6,0.97